Record 1
TiWS: optimized geometry, GGA-PBE.

Cell lengths 3.072, 3.072, 11.278 Å; angles 90.00, 90.00, 120.00 degrees
Fractional coordinates of all 6 atoms:
W  0.667  0.333  0.247
W  0.667  0.333  0.651
Ti  0.667  0.333  0.949
Ti  0.333  0.667  0.449
S  0.333  0.667  0.099
S  0.333  0.667  0.799

Electronic total energy, eV per atom: -8.73
Spin magnetization, μB per atom: 0.0000
E_form (uncorrected), meV per atom: -401
ρ, g/cm3: 9.5
Space-group type: No. 187


Record 2
TiW3S: optimized geometry, GGA-PBE.

Cell lengths 4.423, 4.423, 4.423 Å; angles 90.00, 90.00, 90.00 degrees
Fractional coordinates of all 5 atoms:
S  0.000  0.000  0.000
W  0.000  0.500  0.000
W  0.000  0.000  0.500
W  0.500  0.000  0.000
Ti  0.500  0.500  0.500

Electronic total energy, eV per atom: -9.48
Spin magnetization, μB per atom: 0.0000
E_form (uncorrected), meV per atom: 694
ρ, g/cm3: 12.1
Space-group type: No. 221
Relative energy among the computed polymorphs, meV/atom: 0